! PBE ThVTe2N, relaxed; values from VASP
! Raw total energy   -71.766 eV/cell
! Magnetic moment   0.407 μB per atom
! Mass density   7.51 Mg/m³
! Formation energy from raw total energies   -0.95 eV per atom
! Space group   P4/nmm (129)
&SYSTEM
  ibrav = 0, nat = 10, ntyp = 4
/
ATOMIC_SPECIES
Th 232.04 Th.upf
V 50.94 V.upf
Te 127.60 Te.upf
N 14.01 N.upf
ATOMIC_POSITIONS crystal
Th 0.2500 0.2500 0.0789
Th 0.7500 0.7500 0.9211
V 0.2500 0.2500 0.6069
V 0.7500 0.7500 0.3931
Te 0.2500 0.2500 0.4158
Te 0.2500 0.2500 0.7848
Te 0.7500 0.7500 0.2152
Te 0.7500 0.7500 0.5842
N 0.2500 0.7500 0.0000
N 0.7500 0.2500 0.0000
CELL_PARAMETERS angstrom
4.0505 0.0000 0.0000
0.0000 4.0505 0.0000
0.0000 0.0000 14.8754

---

! PBE HgPtSe2, relaxed; values from VASP
! Raw total energy   -28.800 eV/cell
! Magnetic moment   0.000 μB per atom
! Mass density   9.70 Mg/m³
! Excess energy over the best structure of this formula in the dataset   0.021 eV per atom
! Formation energy from raw total energies   -0.27 eV per atom
! Space group   C2/m (12)
&SYSTEM
  ibrav = 0, nat = 8, ntyp = 3
/
ATOMIC_SPECIES
Hg 200.59 Hg.upf
Pt 195.08 Pt.upf
Se 78.96 Se.upf
ATOMIC_POSITIONS crystal
Hg 0.0856 0.0856 0.3075
Hg 0.9144 0.9144 0.6925
Pt 0.1508 0.1508 0.8220
Pt 0.8492 0.8492 0.1780
Se 0.3243 0.3243 0.3561
Se 0.3678 0.3678 0.9988
Se 0.6322 0.6322 0.0012
Se 0.6757 0.6757 0.6439
CELL_PARAMETERS angstrom
5.9440 -1.8754 0.0000
5.9440 1.8754 0.0000
-2.5966 0.0000 8.4980

---

! PBE Ce2Ho2Al, relaxed; values from VASP
! Raw total energy   -23.528 eV/cell
! Magnetic moment   0.000 μB per atom
! Mass density   7.44 Mg/m³
! E_form   0.25 eV per atom
! Space group   I4/mmm (139)
&SYSTEM
  ibrav = 0, nat = 5, ntyp = 3
/
ATOMIC_SPECIES
Ce 140.12 Ce.upf
Ho 164.93 Ho.upf
Al 26.98 Al.upf
ATOMIC_POSITIONS crystal
Ce 0.2500 0.7500 0.5000
Ce 0.7500 0.2500 0.5000
Ho 0.0859 0.0859 0.0000
Ho 0.9141 0.9141 0.0000
Al 0.5000 0.5000 0.0000
CELL_PARAMETERS angstrom
-1.8959 1.8959 9.8905
1.8959 -1.8959 9.8905
1.8959 1.8959 -9.8905

---

! PBE Ac2OsI, relaxed; values from VASP
! Raw total energy   -45.565 eV/cell
! Magnetic moment   0.000 μB per atom
! Mass density   8.04 Mg/m³
! Excess energy over the best structure of this formula in the dataset   0.107 eV per atom
! Formation energy from raw total energies   -0.45 eV per atom
! Space group   Cmcm (63)
&SYSTEM
  ibrav = 0, nat = 8, ntyp = 3
/
ATOMIC_SPECIES
Ac 227.00 Ac.upf
Os 190.23 Os.upf
I 126.90 I.upf
ATOMIC_POSITIONS crystal
Ac 0.1491 0.3481 0.2500
Ac 0.3481 0.1491 0.7500
Ac 0.6519 0.8509 0.2500
Ac 0.8509 0.6519 0.7500
Os 0.4740 0.5260 0.7500
Os 0.5260 0.4740 0.2500
I 0.2231 0.7769 0.2500
I 0.7769 0.2231 0.7500
CELL_PARAMETERS angstrom
4.0230 -8.8556 0.0000
4.0230 8.8556 0.0000
0.0000 0.0000 4.4679

---

! PBE FeReH2Pt, relaxed; values from VASP
! Raw total energy   -28.936 eV/cell
! Magnetic moment   0.243 μB per atom
! Mass density   12.00 Mg/m³
! Space group   P4/mmm (123)
&SYSTEM
  ibrav = 0, nat = 5, ntyp = 4
/
ATOMIC_SPECIES
Fe 55.84 Fe.upf
Re 186.21 Re.upf
H 1.01 H.upf
Pt 195.08 Pt.upf
ATOMIC_POSITIONS crystal
Fe 0.0000 0.0000 0.0000
Re 0.0000 0.0000 0.5000
H 0.0000 0.5000 0.0000
H 0.5000 0.0000 0.0000
Pt 0.5000 0.5000 0.5000
CELL_PARAMETERS angstrom
3.5730 0.0000 0.0000
0.0000 3.5730 0.0000
0.0000 0.0000 4.7584

---

! PBE Re2TeAs, relaxed; values from VASP
! Raw total energy   -29.161 eV/cell
! Magnetic moment   0.000 μB per atom
! Mass density   13.89 Mg/m³
! Excess energy over the best structure of this formula in the dataset   0.637 eV per atom
! Formation energy from raw total energies   0.88 eV per atom
! Space group   I-4m2 (119)
&SYSTEM
  ibrav = 0, nat = 4, ntyp = 3
/
ATOMIC_SPECIES
Re 186.21 Re.upf
Te 127.60 Te.upf
As 74.92 As.upf
ATOMIC_POSITIONS crystal
Re 0.0000 0.0000 0.0000
Re 0.7500 0.2500 0.5000
Te 0.2500 0.7500 0.5000
As 0.5000 0.5000 0.0000
CELL_PARAMETERS angstrom
-2.1011 2.1011 3.8938
2.1011 -2.1011 3.8938
2.1011 2.1011 -3.8938

---

! PBE SrReSe3, relaxed; values from VASP
! Raw total energy   -26.573 eV/cell
! Magnetic moment   0.346 μB per atom
! Mass density   6.68 Mg/m³
! Excess energy over the best structure of this formula in the dataset   0.000 eV per atom
! Formation energy from raw total energies   -0.40 eV per atom
! Space group   Pm-3m (221)
&SYSTEM
  ibrav = 0, nat = 5, ntyp = 3
/
ATOMIC_SPECIES
Sr 87.62 Sr.upf
Re 186.21 Re.upf
Se 78.96 Se.upf
ATOMIC_POSITIONS crystal
Sr 0.0000 0.0000 0.0000
Re 0.5000 0.5000 0.5000
Se 0.0000 0.5000 0.5000
Se 0.5000 0.0000 0.5000
Se 0.5000 0.5000 0.0000
CELL_PARAMETERS angstrom
5.0258 0.0000 0.0000
0.0000 5.0258 0.0000
0.0000 0.0000 5.0258

---

! PBE La3Au2, relaxed; values from VASP
! Raw total energy   -48.260 eV/cell
! Magnetic moment   0.000 μB per atom
! Mass density   8.89 Mg/m³
! Excess energy over the best structure of this formula in the dataset   0.090 eV per atom
! E_form   -0.56 eV per atom
! Space group   R-3c (167)
&SYSTEM
  ibrav = 0, nat = 10, ntyp = 2
/
ATOMIC_SPECIES
La 138.91 La.upf
Au 196.97 Au.upf
ATOMIC_POSITIONS crystal
La 0.0331 0.7500 0.4669
La 0.2500 0.5331 0.9669
La 0.4669 0.0331 0.7500
La 0.5331 0.9669 0.2500
La 0.7500 0.4669 0.0331
La 0.9669 0.2500 0.5331
Au 0.0992 0.0992 0.0992
Au 0.4008 0.4008 0.4008
Au 0.5992 0.5992 0.5992
Au 0.9008 0.9008 0.9008
CELL_PARAMETERS angstrom
4.2140 2.4329 4.9203
-4.2140 2.4329 4.9203
0.0000 -4.8659 4.9203